[1]
A relaxed structure of NaGeN, computed with PBE-GGA.

Cell lengths 7.537, 3.122, 9.169 Å; angles 90.00, 90.00, 90.00 degrees
Sites, in units of the cell vectors:
Na 0.037 0.250 0.175
Na 0.463 0.750 0.675
Na 0.537 0.250 0.325
Na 0.963 0.750 0.825
Ge 0.160 0.250 0.486
Ge 0.340 0.750 0.986
Ge 0.660 0.250 0.014
Ge 0.840 0.750 0.514
N 0.056 0.750 0.384
N 0.444 0.250 0.884
N 0.556 0.750 0.116
N 0.944 0.250 0.616

formation energy without anion corrections	-73	meV/atom
space-group type	Pnma, No. 62

=====

[2]
A relaxed structure of ErHfAl, computed with PBE-GGA.

Cell lengths 6.787, 6.787, 6.787 Å; angles 152.20, 152.20, 39.73 degrees
Sites, in units of the cell vectors:
Er 0.000 0.000 0.000
Hf 0.316 0.316 0.000
Al 0.669 0.669 0.000

space-group type	I4mm, No. 107

=====

[3]
A relaxed structure of Ba2Zn3AgF12, computed with PBE-GGA.

Cell lengths 7.195, 7.195, 7.195 Å; angles 61.37, 61.37, 61.37 degrees
Sites, in units of the cell vectors:
Ba 0.114 0.114 0.114
Ba 0.886 0.886 0.886
Zn 0.000 0.500 0.500
Zn 0.500 0.000 0.500
Zn 0.500 0.500 0.000
Ag 0.500 0.500 0.500
F 0.085 0.636 0.636
F 0.212 0.212 0.633
F 0.212 0.633 0.212
F 0.364 0.364 0.915
F 0.364 0.915 0.364
F 0.367 0.788 0.788
F 0.633 0.212 0.212
F 0.636 0.085 0.636
F 0.636 0.636 0.085
F 0.788 0.367 0.788
F 0.788 0.788 0.367
F 0.915 0.364 0.364

formation energy without anion corrections	-2541	meV/atom
space-group type	R-3m, No. 166

=====

[4]
A relaxed structure of Dy3Ho4Cu4, computed with PBE-GGA.

Cell lengths 8.689, 8.689, 8.689 Å; angles 147.87, 130.29, 60.43 degrees
Sites, in units of the cell vectors:
Dy 0.000 0.000 0.000
Dy 0.396 0.896 0.500
Dy 0.604 0.104 0.500
Ho 0.048 0.328 0.720
Ho 0.392 0.672 0.720
Ho 0.608 0.328 0.280
Ho 0.952 0.672 0.280
Cu 0.201 0.201 0.000
Cu 0.332 0.500 0.832
Cu 0.668 0.500 0.168
Cu 0.799 0.799 0.000

space-group type	Immm, No. 71

=====

[5]
A relaxed structure of Hf2ZrCd, computed with PBE-GGA.

Cell lengths 3.197, 4.279, 6.471 Å; angles 90.00, 90.00, 90.00 degrees
Sites, in units of the cell vectors:
Hf 0.000 0.000 0.000
Hf 0.500 0.500 0.240
Zr 0.000 0.000 0.486
Cd 0.500 0.500 0.744

space-group type	Pmm2, No. 25

=====

[6]
A relaxed structure of AlZnCdAg2, computed with PBE-GGA.

Cell lengths 4.970, 4.970, 5.095 Å; angles 90.00, 90.00, 90.00 degrees
Sites, in units of the cell vectors:
Al 0.000 0.000 0.000
Zn 0.500 0.500 0.500
Cd 0.000 0.000 0.500
Ag 0.000 0.500 0.000
Ag 0.500 0.000 0.000

space-group type	P4/mmm, No. 123

=====

[7]
A relaxed structure of NdY3Pd2, computed with PBE-GGA.

Cell lengths 7.294, 7.294, 7.799 Å; angles 105.53, 105.53, 55.80 degrees
Sites, in units of the cell vectors:
Nd 0.241 0.759 0.750
Nd 0.759 0.241 0.250
Y 0.213 0.214 0.107
Y 0.214 0.213 0.607
Y 0.256 0.744 0.250
Y 0.744 0.256 0.750
Y 0.786 0.787 0.393
Y 0.787 0.786 0.893
Pd 0.377 0.379 0.439
Pd 0.379 0.377 0.939
Pd 0.621 0.623 0.061
Pd 0.623 0.621 0.561

space-group type	C2/c, No. 15

=====

[8]
A relaxed structure of Ta2InCu, computed with PBE-GGA.

Cell lengths 4.670, 4.670, 4.670 Å; angles 60.00, 60.00, 60.00 degrees
Sites, in units of the cell vectors:
Ta 0.000 0.000 0.000
Ta 0.250 0.250 0.250
In 0.500 0.500 0.500
Cu 0.750 0.750 0.750

space-group type	F-43m, No. 216

=====

[9]
A relaxed structure of TbZnO3, computed with PBE-GGA.

Cell lengths 6.307, 6.307, 6.307 Å; angles 52.68, 52.68, 52.68 degrees
Sites, in units of the cell vectors:
Tb 0.000 0.000 0.000
Tb 0.500 0.500 0.500
Zn 0.250 0.250 0.250
Zn 0.750 0.750 0.750
O 0.087 0.750 0.413
O 0.250 0.587 0.913
O 0.413 0.087 0.750
O 0.587 0.913 0.250
O 0.750 0.413 0.087
O 0.913 0.250 0.587

formation energy without anion corrections	-2058	meV/atom
space-group type	R-3c, No. 167

=====

[10]
A relaxed structure of KCaSbTe2, computed with PBE-GGA.

Cell lengths 5.958, 5.958, 5.835 Å; angles 90.00, 90.00, 90.00 degrees
Sites, in units of the cell vectors:
K 0.000 0.000 0.000
Ca 0.500 0.500 0.500
Sb 0.500 0.500 0.000
Te 0.000 0.500 0.500
Te 0.500 0.000 0.500

formation energy without anion corrections	-317	meV/atom
space-group type	P4/mmm, No. 123

=====

[11]
A relaxed structure of Nd2Ga3Pt4, computed with PBE-GGA.

Cell lengths 8.327, 8.327, 7.661 Å; angles 90.00, 90.00, 139.93 degrees
Sites, in units of the cell vectors:
Nd 0.108 0.892 0.910
Nd 0.392 0.608 0.410
Nd 0.608 0.392 0.590
Nd 0.892 0.108 0.090
Ga 0.000 0.000 0.500
Ga 0.021 0.479 0.750
Ga 0.479 0.021 0.250
Ga 0.500 0.500 0.000
Ga 0.521 0.979 0.750
Ga 0.979 0.521 0.250
Pt 0.183 0.817 0.523
Pt 0.189 0.311 0.750
Pt 0.311 0.189 0.250
Pt 0.317 0.683 0.023
Pt 0.683 0.317 0.977
Pt 0.689 0.811 0.750
Pt 0.811 0.689 0.250
Pt 0.817 0.183 0.477

space-group type	Cmce, No. 64

=====

[12]
A relaxed structure of Ag5Pd12Pt2, computed with PBE-GGA.

Cell lengths 9.282, 9.282, 6.932 Å; angles 109.58, 109.58, 34.46 degrees
Sites, in units of the cell vectors:
Ag 0.000 0.000 0.000
Ag 0.246 0.246 0.987
Ag 0.346 0.346 0.404
Ag 0.654 0.654 0.596
Ag 0.754 0.754 0.013
Pd 0.052 0.554 0.704
Pd 0.143 0.143 0.571
Pd 0.155 0.640 0.112
Pd 0.360 0.845 0.888
Pd 0.446 0.948 0.296
Pd 0.451 0.451 0.803
Pd 0.549 0.549 0.197
Pd 0.554 0.052 0.704
Pd 0.640 0.155 0.112
Pd 0.845 0.360 0.888
Pd 0.857 0.857 0.429
Pd 0.948 0.446 0.296
Pt 0.248 0.752 0.500
Pt 0.752 0.248 0.500

space-group type	C2/m, No. 12

=====

Total DFT energy (no corrections) readings, ordered: -4.83 -6.28 -4.37 -4.50 -7.36 -1.81 -6.29 -7.15 -6.21 -3.02 -5.73 -4.56 eV/atom